DFT (PBE) results for a relaxed structure of ZnHg2BiOs.

## Properties
Formation enthalpy at 0 K ... 1306.2 meV per atom
Theoretical density ... 7.57 g/cm3

Cell: 6.0620 5.1674 6.0620 Å, 90.00 90.00 90.00°
Fractional positions:
Zn (0.5000, 0.5000, 0.5000)
Os (0.0000, 0.5000, 0.0000)
Bi (0.0000, 0.0000, 0.0000)
Hg (0.0000, 0.0000, 0.5000)
Hg (0.5000, 0.0000, 0.0000)